{
  "formula": "TbZnInSe3",
  "functional": "PBE",
  "state": "relaxed",
  "lattice_angstrom": [[-1.144, -4.095, -0.155], [2.959, -0.399, -11.320], [11.515, -3.337, 3.127]],
  "species": ["Zn", "Tb", "Se", "Se", "Se", "Se", "In", "Zn", "In", "In", "Tb", "Zn", "Se", "Tb", "Se", "Zn", "Se", "Se", "Se", "In", "Tb", "Se", "Se", "Se"],
  "fractional_positions": [[0.250, 0.748, 0.698], [0.250, 0.478, 0.177], [0.750, 0.959, 0.161], [0.250, 0.225, 0.194], [0.250, 0.725, 0.306], [0.750, 0.775, 0.806], [0.750, 0.670, 0.496], [0.750, 0.752, 0.198], [0.250, 0.830, 0.996], [0.250, 0.330, 0.504], [0.250, 0.978, 0.323], [0.750, 0.252, 0.302], [0.750, 0.275, 0.694], [0.750, 0.022, 0.677], [0.250, 0.041, 0.839], [0.250, 0.248, 0.802], [0.250, 0.401, 0.938], [0.750, 0.459, 0.339], [0.750, 0.599, 0.062], [0.750, 0.170, 0.004], [0.750, 0.522, 0.823], [0.750, 0.099, 0.438], [0.250, 0.901, 0.562], [0.250, 0.541, 0.661]],
  "magnetic_moment_mub_per_fu": 0.00,
  "de_polymorph_mev_per_atom": 49
}